Compound: TbPm5Y2
Source: the Alexandria database
Functional: PBE-GGA
Structure: relaxed

## Properties
The calculation puts the energy of formation from the pure elements at 15 meV per atom. Its crystal system is orthorhombic. The value obtained for the calculated volume is 33.53 Å³ per atom. The calculation puts the offset from the most stable computed form at 0 meV/atom.

CIF file:
```
data_TbPm5Y2
_symmetry_space_group_name_H-M 'P b a m'
_symmetry_Int_Tables_number 55
_symmetry_space_group_name_Hall '-P 2 2ab'
_cell_length_a 7.241
_cell_length_b 14.485
_cell_length_c 5.115
_cell_angle_alpha 90.00
_cell_angle_beta 90.00
_cell_angle_gamma 90.00
loop_
_atom_site_label
_atom_site_fract_x
_atom_site_fract_y
_atom_site_fract_z
Tb1 0.000 0.000 0.000
Pm1 0.000 0.249 0.000
Pm2 0.000 0.500 0.000
Pm3 0.249 0.125 0.500
Y1 0.250 0.376 0.500
```

---

Compound: BaOsRuO6
Source: the Alexandria database
Functional: PBE-GGA
Structure: relaxed

## Properties
Its crystal system is orthorhombic. The value obtained for the calculated volume is 14.54 Å³ per atom. For the formation energy (no corrections), the calculation gives -1387 meV/atom.

CIF file:
```
data_BaOsRuO6
_symmetry_space_group_name_H-M 'I m m a'
_symmetry_Int_Tables_number 74
_symmetry_space_group_name_Hall '-I 2b 2'
_cell_length_a 7.059
_cell_length_b 7.260
_cell_length_c 10.215
_cell_angle_alpha 90.00
_cell_angle_beta 90.00
_cell_angle_gamma 90.00
loop_
_atom_site_label
_atom_site_fract_x
_atom_site_fract_y
_atom_site_fract_z
Ba1 0.000 0.250 0.105
Os1 0.000 0.000 0.500
Ru1 0.250 0.250 0.750
O1 0.000 0.250 0.448
O2 0.000 0.250 0.828
O3 0.198 0.043 0.626
```

---

Compound: MgCuAg3
Source: the Alexandria database
Functional: PBE-GGA
Structure: relaxed

## Properties
The calculation puts the energy of formation from the pure elements at 420 meV per atom. Its crystal system is cubic. The value obtained for the calculated volume is 22.15 Å³ per atom. The calculation puts the offset from the most stable computed form at 0 meV/atom.

CIF file:
```
data_MgCuAg3
_symmetry_space_group_name_H-M 'P m -3 m'
_symmetry_Int_Tables_number 221
_symmetry_space_group_name_Hall '-P 4 2 3'
_cell_length_a 4.802
_cell_length_b 4.802
_cell_length_c 4.802
_cell_angle_alpha 90.00
_cell_angle_beta 90.00
_cell_angle_gamma 90.00
loop_
_atom_site_label
_atom_site_fract_x
_atom_site_fract_y
_atom_site_fract_z
Mg1 0.000 0.000 0.000
Cu1 0.500 0.500 0.500
Ag1 0.000 0.500 0.500
```

---

Compound: KAlP3
Source: the Alexandria database
Functional: PBE-GGA
Structure: relaxed

## Properties
The calculation puts the energy of formation from the pure elements at 324 meV per atom. Its crystal system is cubic. The value obtained for the calculated volume is 22.27 Å³ per atom. The calculation puts the offset from the most stable computed form at 0 meV/atom.

CIF file:
```
data_KAlP3
_symmetry_space_group_name_H-M 'P m -3 m'
_symmetry_Int_Tables_number 221
_symmetry_space_group_name_Hall '-P 4 2 3'
_cell_length_a 4.811
_cell_length_b 4.811
_cell_length_c 4.811
_cell_angle_alpha 90.00
_cell_angle_beta 90.00
_cell_angle_gamma 90.00
loop_
_atom_site_label
_atom_site_fract_x
_atom_site_fract_y
_atom_site_fract_z
K1 0.000 0.000 0.000
Al1 0.500 0.500 0.500
P1 0.000 0.500 0.500
```